Record 1
{"formula": "CePr5Nd4", "functional": "PBE", "state": "optimized geometry", "final_energy_ev_per_cell": -46.5, "dos_ef_per_ev_atom": 1.892, "magmom_total_mub_per_cell": 0.93, "delta_e_f_ev_per_fu": 2.36, "lattice": [[4.888, 0.000, -1.355], [-1.264, 7.569, -4.559], [0.100, 0.246, 9.853]], "species": ["Pr", "Pr", "Pr", "Pr", "Pr", "Ce", "Nd", "Nd", "Nd", "Nd"], "frac_coords": [[0.500, 0.500, 0.000], [0.160, 0.110, 0.320], [0.840, 0.890, 0.680], [0.825, 0.265, 0.650], [0.175, 0.735, 0.350], [0.500, 0.000, 0.000], [0.034, 0.286, 0.068], [0.323, 0.577, 0.645], [0.677, 0.423, 0.355], [0.966, 0.714, 0.932]]}

Record 2
{"formula": "UPRuO", "functional": "PBE", "state": "optimized geometry", "final_energy_ev_per_cell": -75.8, "formation_energy_uncorrected_ev_per_atom": -1.745, "dos_ef_per_ev_atom": 1.822, "magmom_total_mub_per_cell": 4.14, "lattice": [[-0.511, -3.917, -0.267], [3.473, -0.576, 1.813], [-3.592, -0.001, 6.881]], "species": ["P", "P", "Ru", "Ru", "U", "U", "O", "O"], "frac_coords": [[0.500, 0.000, 0.659], [0.000, 0.500, 0.341], [0.000, 0.000, 0.500], [0.500, 0.500, 0.500], [0.500, 0.000, 0.158], [0.000, 0.500, 0.842], [0.000, 0.000, 0.000], [0.500, 0.500, 0.000]]}

Record 3
{"formula": "Rb2PPdI", "functional": "PBE", "state": "optimized geometry", "final_energy_ev_per_cell": -12.0, "formation_energy_uncorrected_ev_per_atom": 0.421, "dos_ef_per_ev_atom": 0.703, "magmom_total_mub_per_cell": 0.69, "lattice": [[6.740, 0.000, 0.000], [0.000, 5.411, 0.000], [0.000, 0.000, 6.740]], "species": ["Rb", "Rb", "P", "Pd", "I"], "frac_coords": [[0.000, 0.000, 0.500], [0.500, 0.000, 0.000], [0.000, 0.500, 0.000], [0.500, 0.500, 0.500], [0.000, 0.000, 0.000]]}

Record 4
{"formula": "PAuN3", "functional": "PBE", "state": "optimized geometry", "final_energy_ev_per_cell": -20.2, "formation_energy_uncorrected_ev_per_atom": 2.687, "dos_ef_per_ev_atom": 0.625, "magmom_total_mub_per_cell": 2.14, "lattice": [[-3.846, 1.027, 0.757], [0.069, -2.233, 3.381], [1.274, 3.222, 2.102]], "species": ["N", "N", "N", "P", "Au"], "frac_coords": [[0.000, 0.000, 0.500], [0.000, 0.500, 0.000], [0.500, 0.000, 0.000], [0.500, 0.500, 0.500], [0.000, 0.000, 0.000]]}

Record 5
{"formula": "LiCuN3", "functional": "PBE", "state": "optimized geometry", "final_energy_ev_per_cell": -19.6, "formation_energy_uncorrected_ev_per_atom": 2.278, "dos_ef_per_ev_atom": 0.814, "magmom_total_mub_per_cell": 0.00, "lattice": [[-3.425, -0.565, -0.617], [0.638, -0.084, -3.467], [0.541, -3.479, 0.183]], "species": ["Cu", "Li", "N", "N", "N"], "frac_coords": [[0.500, 0.500, 0.500], [0.000, 0.000, 0.000], [0.500, 0.000, 0.000], [0.000, 0.000, 0.500], [0.000, 0.500, 0.000]]}

Record 6
{"formula": "Nd2TaH", "functional": "PBE", "state": "optimized geometry", "final_energy_ev_per_cell": -22.9, "dos_ef_per_ev_atom": 1.271, "magmom_total_mub_per_cell": 0.00, "lattice": [[-2.972, 0.742, -0.950], [-1.498, -1.835, -2.162], [-5.017, -5.639, 5.884]], "species": ["Nd", "Nd", "H", "Ta"], "frac_coords": [[0.108, 0.108, 0.675], [0.892, 0.892, 0.325], [0.500, 0.500, 0.500], [0.000, 0.000, 0.000]]}

Record 7
{"formula": "ErReN2", "functional": "PBE", "state": "optimized geometry", "final_energy_ev_per_cell": -33.3, "formation_energy_uncorrected_ev_per_atom": 0.095, "dos_ef_per_ev_atom": 0.551, "magmom_total_mub_per_cell": 0.00, "lattice": [[-0.311, 1.236, -2.868], [-2.806, 0.015, -1.406], [-2.356, 6.324, 1.265]], "species": ["Er", "N", "N", "Re"], "frac_coords": [[0.000, 0.000, 0.000], [0.887, 0.887, 0.339], [0.113, 0.113, 0.661], [0.500, 0.500, 0.500]]}

Record 8
{"formula": "YHfN2O", "functional": "PBE", "state": "optimized geometry", "final_energy_ev_per_cell": -38.6, "formation_energy_uncorrected_ev_per_atom": -0.109, "dos_ef_per_ev_atom": 0.587, "magmom_total_mub_per_cell": 0.34, "lattice": [[-2.827, -0.965, 3.039], [-1.980, -2.653, -2.683], [2.436, -3.110, 1.278]], "species": ["Y", "N", "N", "O", "Hf"], "frac_coords": [[0.000, 0.000, 0.000], [0.500, 0.000, 0.000], [0.000, 0.500, 0.000], [0.000, 0.000, 0.500], [0.500, 0.500, 0.500]]}